*1*
Ti2GeAs, optimized geometry, DFT PBE-GGA; total magnetic moment = 0.00 μB/cell; calculated density = 5.78 g/cm3; volume = 17.47 Å³ per atom; SG = R-3m (166)
1.0
1.8327 1.0581 6.0077
-1.8327 1.0581 6.0077
0.0000 -2.1162 6.0077
Ti Ge As
2 1 1
direct
0.2499 0.2499 0.2499
0.7501 0.7501 0.7501
0.0000 0.0000 0.0000
0.5000 0.5000 0.5000



*2*
Ti2GeAs, optimized geometry, DFT PBE-GGA; total magnetic moment = 0.00 μB/cell; calculated density = 4.15 g/cm3; volume = 24.36 Å³ per atom; SG = I-42d (122)
1.0
-2.8953 2.8953 5.8123
2.8953 -2.8953 5.8123
2.8953 2.8953 -5.8123
Ti Ge As
4 2 2
direct
0.1252 0.6250 0.0002
0.3750 0.3752 0.5002
0.6248 0.1250 0.9998
0.8750 0.8748 0.4998
0.0000 0.0000 0.0000
0.7500 0.2500 0.5000
0.2500 0.7500 0.5000
0.5000 0.5000 0.0000



Of them, *1* has the highest stability.



*1*
Ti2GeAs2, optimized geometry, DFT PBE-GGA; total magnetic moment = 0.00 μB/cell; calculated density = 6.20 g/cm3; volume = 17.06 Å³ per atom; SG = P4/mbm (127)
1.0
7.0155 0.0000 0.0000
0.0000 7.0155 0.0000
0.0000 0.0000 3.4660
Ti Ge As
4 2 4
direct
0.1520 0.3480 0.0000
0.3480 0.8480 0.0000
0.6520 0.1520 0.0000
0.8480 0.6520 0.0000
0.0000 0.0000 0.0000
0.5000 0.5000 0.0000
0.1457 0.6457 0.5000
0.3543 0.1457 0.5000
0.6457 0.8543 0.5000
0.8543 0.3543 0.5000



*2*
Ti2GeAs2, optimized geometry, DFT PBE-GGA; total magnetic moment = 0.00 μB/cell; calculated density = 6.05 g/cm3; volume = 17.46 Å³ per atom; SG = P4/mbm (127)
1.0
7.2075 0.0000 0.0000
0.0000 7.2075 0.0000
0.0000 0.0000 3.3610
Ti Ge As
4 2 4
direct
0.1454 0.3546 0.0000
0.3546 0.8546 0.0000
0.6454 0.1454 0.0000
0.8546 0.6454 0.0000
0.0000 0.0000 0.5000
0.5000 0.5000 0.5000
0.1455 0.6455 0.5000
0.3545 0.1455 0.5000
0.6455 0.8545 0.5000
0.8545 0.3545 0.5000



Of them, *1* has the highest stability.



*1*
Ti3GeAs, optimized geometry, DFT PBE-GGA; total magnetic moment = 0.92 μB/cell; calculated density = 4.73 g/cm3; volume = 20.46 Å³ per atom; SG = Pm-3m (221)
1.0
4.6766 0.0000 0.0000
0.0000 4.6766 0.0000
0.0000 0.0000 4.6766
Ti Ge As
3 1 1
direct
0.0000 0.0000 0.5000
0.0000 0.5000 0.0000
0.5000 0.0000 0.0000
0.5000 0.5000 0.5000
0.0000 0.0000 0.0000



*2*
Ti3GeAs, optimized geometry, DFT PBE-GGA; total magnetic moment = 0.00 μB/cell; calculated density = 5.32 g/cm3; volume = 18.17 Å³ per atom; SG = C2/m (12)
1.0
6.9381 -1.7832 0.0000
6.9381 1.7832 0.0000
-1.9365 0.0000 7.3450
Ti Ge As
6 2 2
direct
0.0124 0.0124 0.2139
0.1840 0.1840 0.8988
0.2272 0.2272 0.3250
0.7728 0.7728 0.6750
0.8160 0.8160 0.1012
0.9876 0.9876 0.7861
0.3902 0.3902 0.9293
0.6098 0.6098 0.0707
0.1253 0.1253 0.5606
0.8747 0.8747 0.4394



Of them, *2* has the highest stability.



*1*
TlGeAs2, optimized geometry, DFT PBE-GGA; total magnetic moment = 0.00 μB/cell; calculated density = 7.61 g/cm3; volume = 23.29 Å³ per atom; SG = Cm (8)
1.0
3.3052 -1.8964 0.0000
3.3052 1.8964 0.0000
-2.1922 0.0000 7.4316
Tl Ge As
1 1 2
direct
0.0000 0.0000 0.0000
0.8310 0.8310 0.4971
0.2334 0.2334 0.7036
0.4331 0.4331 0.3000



*2*
TlGeAs2, optimized geometry, DFT PBE-GGA; total magnetic moment = 0.00 μB/cell; calculated density = 8.01 g/cm3; volume = 22.13 Å³ per atom; SG = Fm-3m (225)
1.0
0.0000 3.5371 3.5371
3.5371 0.0000 3.5371
3.5371 3.5371 0.0000
Tl Ge As
1 1 2
direct
0.0000 0.0000 0.0000
0.5000 0.5000 0.5000
0.2500 0.2500 0.2500
0.7500 0.7500 0.7500



*3*
TlGeAs2, optimized geometry, DFT PBE-GGA; total magnetic moment = 0.00 μB/cell; calculated density = 5.98 g/cm3; volume = 29.64 Å³ per atom; SG = I-42d (122)
1.0
-3.1847 3.1847 5.8446
3.1847 -3.1847 5.8446
3.1847 3.1847 -5.8446
Tl Ge As
2 2 4
direct
0.0000 0.0000 0.0000
0.7500 0.2500 0.5000
0.2500 0.7500 0.5000
0.5000 0.5000 0.0000
0.1696 0.6250 0.0446
0.3750 0.4196 0.5446
0.5804 0.1250 0.9554
0.8750 0.8304 0.4554



Of them, *3* has the highest stability.



*1*
TlGeAs2, optimized geometry, DFT PBE-GGA; total magnetic moment = 0.00 μB/cell; calculated density = 6.57 g/cm3; volume = 26.97 Å³ per atom; SG = P2_1/c (14)
1.0
10.5110 0.0000 0.0000
0.0000 6.5636 0.0000
-2.0384 0.0000 6.2537
Tl Ge As
4 4 8
direct
0.1129 0.1219 0.3063
0.1129 0.3781 0.8063
0.8871 0.6219 0.1937
0.8871 0.8781 0.6937
0.3562 0.6103 0.4288
0.3562 0.8897 0.9288
0.6438 0.1103 0.0712
0.6438 0.3897 0.5712
0.1957 0.7489 0.0987
0.1957 0.7511 0.5987
0.4158 0.2416 0.4600
0.4158 0.2584 0.9600
0.5842 0.7416 0.0400
0.5842 0.7584 0.5400
0.8043 0.2489 0.4013
0.8043 0.2511 0.9013



*2*
TlGeAs2, optimized geometry, DFT PBE-GGA; total magnetic moment = 0.00 μB/cell; calculated density = 7.72 g/cm3; volume = 22.96 Å³ per atom; SG = R-3m (166)
1.0
1.9418 1.1211 7.0323
-1.9418 1.1211 7.0323
0.0000 -2.2422 7.0323
Tl Ge As
1 1 2
direct
0.0000 0.0000 0.0000
0.5000 0.5000 0.5000
0.2364 0.2364 0.2364
0.7636 0.7636 0.7636



Of them, *1* has the highest stability.



*1*
TlGeAs3, optimized geometry, DFT PBE-GGA; total magnetic moment = 0.00 μB/cell; calculated density = 6.45 g/cm3; volume = 25.83 Å³ per atom; SG = Pm-3m (221)
1.0
5.0545 0.0000 0.0000
0.0000 5.0545 0.0000
0.0000 0.0000 5.0545
Tl Ge As
1 1 3
direct
0.0000 0.0000 0.0000
0.5000 0.5000 0.5000
0.0000 0.5000 0.5000
0.5000 0.0000 0.5000
0.5000 0.5000 0.0000



*2*
TlGeAs3, optimized geometry, DFT PBE-GGA; total magnetic moment = 0.00 μB/cell; calculated density = 5.65 g/cm3; volume = 29.50 Å³ per atom; SG = Pm-3m (221)
1.0
5.2837 0.0000 0.0000
0.0000 5.2837 0.0000
0.0000 0.0000 5.2837
Tl Ge As
1 1 3
direct
0.0000 0.0000 0.0000
0.5000 0.5000 0.5000
0.0000 0.0000 0.5000
0.0000 0.5000 0.0000
0.5000 0.0000 0.0000



*3*
TlGeAs3, optimized geometry, DFT PBE-GGA; total magnetic moment = 0.00 μB/cell; calculated density = 6.85 g/cm3; volume = 24.33 Å³ per atom; SG = P-1 (2)
1.0
5.9189 0.0000 0.0000
-1.1361 5.8139 0.0000
-0.7621 -0.9967 7.0689
Tl Ge As
2 2 6
direct
0.1350 0.3647 0.2496
0.8650 0.6353 0.7504
0.5000 0.0000 0.0000
0.5000 0.0000 0.5000
0.1505 0.8601 0.2123
0.2776 0.2234 0.7511
0.3607 0.6505 0.7111
0.6393 0.3495 0.2889
0.7224 0.7766 0.2489
0.8495 0.1399 0.7877



Of them, *3* has the highest stability.



*1*
Tl2GeAs2, optimized geometry, DFT PBE-GGA; total magnetic moment = 0.00 μB/cell; calculated density = 7.20 g/cm3; volume = 29.10 Å³ per atom; SG = C2/m (12)
1.0
6.5684 -3.1942 0.0000
6.5684 3.1942 0.0000
-4.6818 0.0000 6.9350
Tl Ge As
4 2 4
direct
0.0786 0.0786 0.3756
0.2886 0.2886 0.8705
0.7114 0.7114 0.1295
0.9214 0.9214 0.6244
0.3629 0.3629 0.3428
0.6371 0.6371 0.6572
0.1508 0.1508 0.0958
0.4663 0.4663 0.6973
0.5337 0.5337 0.3027
0.8492 0.8492 0.9042



*2*
Tl2GeAs2, optimized geometry, DFT PBE-GGA; total magnetic moment = 0.00 μB/cell; calculated density = 7.82 g/cm3; volume = 26.83 Å³ per atom; SG = P4/mbm (127)
1.0
6.9360 0.0000 0.0000
0.0000 6.9360 0.0000
0.0000 0.0000 5.5761
Tl Ge As
4 2 4
direct
0.1859 0.3141 0.0000
0.3141 0.8141 0.0000
0.6859 0.1859 0.0000
0.8141 0.6859 0.0000
0.0000 0.0000 0.5000
0.5000 0.5000 0.5000
0.1249 0.6249 0.5000
0.3751 0.1249 0.5000
0.6249 0.8751 0.5000
0.8751 0.3751 0.5000



Of them, *2* has the highest stability.



*1*
TlGe3As, optimized geometry, DFT PBE-GGA; total magnetic moment = 0.00 μB/cell; calculated density = 5.55 g/cm3; volume = 29.77 Å³ per atom; SG = Pm-3m (221)
1.0
5.2997 0.0000 0.0000
0.0000 5.2997 0.0000
0.0000 0.0000 5.2997
Tl Ge As
1 3 1
direct
0.0000 0.0000 0.0000
0.0000 0.0000 0.5000
0.0000 0.5000 0.0000
0.5000 0.0000 0.0000
0.5000 0.5000 0.5000



*2*
TlGe3As, optimized geometry, DFT PBE-GGA; total magnetic moment = 0.00 μB/cell; calculated density = 6.16 g/cm3; volume = 26.82 Å³ per atom; SG = Pm-3m (221)
1.0
5.1183 0.0000 0.0000
0.0000 5.1183 0.0000
0.0000 0.0000 5.1183
Tl Ge As
1 3 1
direct
0.0000 0.0000 0.0000
0.0000 0.5000 0.5000
0.5000 0.0000 0.5000
0.5000 0.5000 0.0000
0.5000 0.5000 0.5000



Of them, *2* has the highest stability.



*1*
Tm2GeAs, optimized geometry, DFT PBE-GGA; total magnetic moment = 0.00 μB/cell; calculated density = 8.43 g/cm3; volume = 23.92 Å³ per atom; SG = R-3m (166)
1.0
1.9800 1.1432 7.0449
-1.9800 1.1432 7.0449
0.0000 -2.2863 7.0449
Tm Ge As
2 1 1
direct
0.2465 0.2465 0.2465
0.7535 0.7535 0.7535
0.0000 0.0000 0.0000
0.5000 0.5000 0.5000



*2*
Tm2GeAs, optimized geometry, DFT PBE-GGA; total magnetic moment = 0.00 μB/cell; calculated density = 8.28 g/cm3; volume = 24.34 Å³ per atom; SG = R3m (160)
1.0
1.9608 1.1320 7.3108
-1.9608 1.1320 7.3108
0.0000 -2.2641 7.3108
Tm Ge As
2 1 1
direct
0.0000 0.0000 0.0000
0.1641 0.1641 0.1641
0.5837 0.5837 0.5837
0.4141 0.4141 0.4141



Of them, *1* has the highest stability.



*1*
UGeAs2, optimized geometry, DFT PBE-GGA; total magnetic moment = 3.02 μB/cell; calculated density = 8.46 g/cm3; volume = 22.59 Å³ per atom; SG = R-3m (166)
1.0
1.6863 0.9736 9.1734
-1.6863 0.9736 9.1734
0.0000 -1.9472 9.1734
U Ge As
1 1 2
direct
0.0000 0.0000 0.0000
0.5000 0.5000 0.5000
0.1045 0.1045 0.1045
0.8955 0.8955 0.8955



*2*
UGeAs2, optimized geometry, DFT PBE-GGA; total magnetic moment = 1.12 μB/cell; calculated density = 10.03 g/cm3; volume = 19.07 Å³ per atom; SG = P4/mmm (123)
1.0
4.3913 0.0000 0.0000
0.0000 4.3913 0.0000
0.0000 0.0000 3.9549
U Ge As
1 1 2
direct
0.0000 0.0000 0.0000
0.5000 0.5000 0.0000
0.0000 0.5000 0.5000
0.5000 0.0000 0.5000



Of them, *2* has the highest stability.



*1*
V2GeAs2, optimized geometry, DFT PBE-GGA; total magnetic moment = 0.00 μB/cell; calculated density = 6.93 g/cm3; volume = 15.54 Å³ per atom; SG = P4/mbm (127)
1.0
6.9022 0.0000 0.0000
0.0000 6.9022 0.0000
0.0000 0.0000 3.2618
V Ge As
4 2 4
direct
0.1488 0.3512 0.0000
0.3512 0.8512 0.0000
0.6488 0.1488 0.0000
0.8512 0.6488 0.0000
0.0000 0.0000 0.0000
0.5000 0.5000 0.0000
0.1448 0.6448 0.5000
0.3552 0.1448 0.5000
0.6448 0.8552 0.5000
0.8552 0.3552 0.5000



*2*
V2GeAs2, optimized geometry, DFT PBE-GGA; total magnetic moment = 0.00 μB/cell; calculated density = 6.23 g/cm3; volume = 17.29 Å³ per atom; SG = C2/c (15)
1.0
3.7923 -4.7539 0.0000
3.7923 4.7539 0.0000
-3.1813 0.0000 4.7942
V Ge As
4 2 4
direct
0.1601 0.8399 0.7500
0.2999 0.7001 0.2500
0.7001 0.2999 0.7500
0.8399 0.1601 0.2500
0.4134 0.5866 0.7500
0.5866 0.4134 0.2500
0.0890 0.2368 0.0135
0.2368 0.0890 0.5135
0.7632 0.9110 0.4865
0.9110 0.7632 0.9865



Of them, *1* has the highest stability.



*1*
V4GeAs, optimized geometry, DFT PBE-GGA; total magnetic moment = 0.00 μB/cell; calculated density = 6.41 g/cm3; volume = 15.16 Å³ per atom; SG = C2/m (12)
1.0
4.0994 -1.5598 0.0000
4.0994 1.5598 0.0000
-4.0119 0.0000 7.1128
V Ge As
4 1 1
direct
0.1474 0.1474 0.3563
0.3517 0.3517 0.1480
0.6483 0.6483 0.8520
0.8526 0.8526 0.6437
0.0000 0.0000 0.0000
0.5000 0.5000 0.5000



*2*
V4GeAs, optimized geometry, DFT PBE-GGA; total magnetic moment = 0.00 μB/cell; calculated density = 5.58 g/cm3; volume = 17.44 Å³ per atom; SG = I4_1md (109)
1.0
-3.4644 3.4644 4.3588
3.4644 -3.4644 4.3588
3.4644 3.4644 -4.3588
V Ge As
8 2 2
direct
0.1638 0.0000 0.1638
0.2478 0.5816 0.3338
0.2478 0.9140 0.6662
0.3316 0.4978 0.8338
0.6640 0.4978 0.1662
0.7500 0.0862 0.3362
0.7500 0.4138 0.6638
0.8362 0.0000 0.8362
0.4982 0.9982 0.5000
0.7482 0.7482 0.0000
0.9996 0.4996 0.5000
0.2496 0.2496 0.0000



Of them, *1* has the highest stability.